## FeIr2Pd (PBE)

Data for crystalline FeIr2Pd at its relaxed geometry.

Cell lengths 6.123, 6.123, 6.123 Å; angles 90.00, 90.00, 90.00 degrees
Space group Fm-3m (No. 225)
Unique sites:
Fe (0.000, 0.000, 0.000) x4
Ir (0.250, 0.250, 0.250) x8
Pd (0.000, 0.000, 0.500) x4

Calculated values
final energy	-7.586	eV per atom
energy above the most stable polymorph in this dataset	1.07	eV per formula unit
energy of formation from the pure elements	0.259	eV/atom